(1)
A relaxed structure of Ac2Be2VO6. Source: Alexandria via LeMat-Bulk, functional PBE with a Hubbard U.

Values from the calculation:
* E: -7.358 eV per atom

Cell: 5.5747 5.5747 5.9410 Å, 90.00 90.00 120.00°
Space group P-3 (No. 147)
Inequivalent atoms, fractional coordinates:
Ac 0.3333 0.6667 0.2368
Be 0.3333 0.6667 0.7699
V 0.0000 0.0000 0.0000
O 0.1157 0.3621 0.7905


(2)
A relaxed structure of AcBeVO4. Source: Alexandria via LeMat-Bulk, functional PBE with a Hubbard U.

Values from the calculation:
* E: -7.514 eV per atom

Cell: 6.003 8.343 8.858 Å, 90.00 90.00 90.00°
Space group Imma (No. 74)
Inequivalent atoms, fractional coordinates:
Ac 0.000 0.000 0.000
Be 0.000 0.250 0.465
V 0.250 0.250 0.250
O 0.000 0.092 0.274
O 0.248 0.250 0.493


(3)
A relaxed structure of Ac3Be2VO8. Source: Alexandria via LeMat-Bulk, functional PBE with a Hubbard U.

Values from the calculation:
* E: -7.707 eV per atom
* Fermi-level density of states: 0.0000 states/eV/atom

Cell: 5.4495 5.4495 6.9599 Å, 90.00 90.00 120.00°
Space group P-3m1 (No. 164)
Inequivalent atoms, fractional coordinates:
Ac 0.0000 0.0000 0.0000
Ac 0.3333 0.6667 0.6645
Be 0.3333 0.6667 0.2194
V 0.0000 0.0000 0.5000
O 0.1697 0.3395 0.3170
O 0.3333 0.6667 0.9938


(4)
A relaxed structure of AcBeV2O7. Source: Alexandria via LeMat-Bulk, functional PBE with a Hubbard U.

Values from the calculation:
* E: -7.461 eV per atom
* Fermi-level density of states: 0.1771 states/eV/atom

Cell: 3.862 3.862 16.138 Å, 90.00 90.00 90.00°
Space group I-4m2 (No. 119)
Inequivalent atoms, fractional coordinates:
Ac 0.000 0.000 0.000
Be 0.000 0.500 0.250
V 0.000 0.000 0.368
O 0.000 0.000 0.261
O 0.000 0.000 0.500
O 0.000 0.500 0.133
O 0.000 0.500 0.606


Number 3 is which compound?
Ac3Be2VO8


The lowest E belongs to which entry?
Ac3Be2VO8


Please write out number 1 again, unchanged.
A relaxed structure of Ac2Be2VO6. Source: Alexandria via LeMat-Bulk, functional PBE with a Hubbard U.

Values from the calculation:
* E: -7.358 eV per atom

Cell: 5.5747 5.5747 5.9410 Å, 90.00 90.00 120.00°
Space group P-3 (No. 147)
Inequivalent atoms, fractional coordinates:
Ac 0.3333 0.6667 0.2368
Be 0.3333 0.6667 0.7699
V 0.0000 0.0000 0.0000
O 0.1157 0.3621 0.7905


Which of these has the highest E?
Ac2Be2VO6